(1)
Entry from Alexandria: a geometry-optimized Ho3CuC structure (PBE).

The space group is C2/m (No. 12) and the conventional cell measures 11.274, 4.958 and 7.893 Å, with angles of 90.00, 103.27 and 90.00 degrees. The asymmetric unit holds Ho at (0.079, 0.000, 0.200), Ho at (0.144, 0.500, 0.920), Ho at (0.174, 0.000, 0.632), Cu at (0.077, 0.500, 0.415) and C at (0.138, 0.000, 0.916).

As for the energy relative to the lowest polymorph listed for this composition: 0 meV per atom. As for the density of states at the Fermi level: 15.61 states/eV/cell. As for the formation energy: -208 meV per atom.

=====

(2)
Entry from Alexandria: a geometry-optimized TlFe3Cu structure (PBE).

The space group is Pm-3m (No. 221) and the conventional cell measures 4.442, 4.442 and 4.442 Å, with angles of 90.00, 90.00 and 90.00 degrees. The asymmetric unit holds Tl at (0.000, 0.000, 0.000), Fe at (0.000, 0.500, 0.500) and Cu at (0.500, 0.500, 0.500).

As for the energy relative to the lowest polymorph listed for this composition: 0 meV per atom. As for the density of states at the Fermi level: 7.25 states/eV/cell. As for the formation energy: 1002 meV per atom.

=====

(3)
Entry from Alexandria: a geometry-optimized UHg3S2Br6 structure (PBE).

The space group is C2/m (No. 12) and the conventional cell measures 15.609, 7.803 and 7.705 Å, with angles of 90.00, 110.71 and 90.00 degrees. The asymmetric unit holds U at (0.000, 0.000, 0.000), Hg at (0.000, 0.500, 0.500), Hg at (0.250, 0.250, 0.500), S at (0.170, 0.500, 0.563), Br at (0.078, 0.000, 0.384) and Br at (0.118, 0.245, 0.982).

As for the density of states at the Fermi level: 7.69 states/eV/cell. The uncorrected formation energy comes out at -0.6746 eV/atom.

=====

(4)
Entry from Alexandria: a geometry-optimized Y2CdInHg structure (PBE).

The space group is P2_1/m (No. 11) and the conventional cell measures 7.327, 4.654 and 7.995 Å, with angles of 90.00, 107.53 and 90.00 degrees. The asymmetric unit holds Y at (0.013, 0.250, 0.187), Y at (0.395, 0.750, 0.620), Cd at (0.342, 0.250, 0.958), In at (0.309, 0.750, 0.193) and Hg at (0.112, 0.250, 0.590).

As for the density of states at the Fermi level: 7.34 states/eV/cell. As for the formation energy: -406 meV per atom.

=====

(5)
Entry from Alexandria: a geometry-optimized YN structure (PBE).

The space group is I-43m (No. 217) and the conventional cell measures 7.214, 7.214 and 7.214 Å, with angles of 90.00, 90.00 and 90.00 degrees. The asymmetric unit holds Y at (0.162, 0.162, 0.838) and N at (0.155, 0.155, 0.155).

The uncorrected formation energy comes out at -1.3032 eV/atom.

=====

(6)
Entry from Alexandria: a geometry-optimized TlSiAu structure (PBE).

The space group is C2 (No. 5) and the conventional cell measures 9.326, 7.287 and 4.315 Å, with angles of 90.00, 116.06 and 90.00 degrees. The asymmetric unit holds Tl at (0.000, 0.000, 0.000), Tl at (0.000, 0.347, 0.500), Si at (0.148, 0.750, 0.645) and Au at (0.203, 0.564, 0.197).

As for the density of states at the Fermi level: 4.57 states/eV/cell. The uncorrected formation energy comes out at 0.0825 eV/atom.

=====

(7)
Entry from Alexandria: a geometry-optimized In2BrCl structure (PBE).

The space group is Fm-3m (No. 225) and the conventional cell measures 7.841, 7.841 and 7.841 Å, with angles of 90.00, 90.00 and 90.00 degrees. The asymmetric unit holds In at (0.250, 0.250, 0.250), Br at (0.000, 0.000, 0.000) and Cl at (0.000, 0.000, 0.500).

As for the energy relative to the lowest polymorph listed for this composition: 54 meV per atom. As for the density of states at the Fermi level: 0.00 states/eV/cell. The uncorrected formation energy comes out at -0.6793 eV/atom.

=====

(8)
Entry from Alexandria: a geometry-optimized MgZr2Mo structure (PBE).

The space group is R-3m (No. 166, hexagonal axes) and the conventional cell measures 2.9899, 2.9899 and 31.8825 Å, with angles of 90.00, 90.00 and 120.00 degrees. The asymmetric unit holds Mg at (0.0000, 0.0000, 0.0000), Zr at (0.0000, 0.0000, 0.2464) and Mo at (0.0000, 0.0000, 0.5000).

As for the energy relative to the lowest polymorph listed for this composition: 302 meV per atom. As for the density of states at the Fermi level: 18.41 states/eV/cell. As for the formation energy: 280 meV per atom.

=====

(9)
Entry from Alexandria: a geometry-optimized La8GeS4Cl3 structure (PBE).

The space group is R-3m (No. 166, hexagonal axes) and the conventional cell measures 8.3985, 8.3985 and 20.6638 Å, with angles of 90.00, 90.00 and 120.00 degrees. The asymmetric unit holds La at (0.0000, 0.0000, 0.2419), La at (0.0074, 0.5037, 0.7559), Ge at (0.0000, 0.0000, 0.0000), S at (0.0000, 0.0000, 0.5000), S at (0.0000, 0.5000, 0.5000) and Cl at (0.0000, 0.5000, 0.0000).

As for the density of states at the Fermi level: 25.48 states/eV/cell. The uncorrected formation energy comes out at -1.8259 eV/atom.

=====

(10)
Entry from Alexandria: a geometry-optimized Dy2ZnIr2 structure (PBE).

The space group is C2/c (No. 15) and the conventional cell measures 10.023, 5.403 and 7.875 Å, with angles of 90.00, 106.49 and 90.00 degrees. The asymmetric unit holds Dy at (0.145, 0.152, 0.147), Zn at (0.000, 0.361, 0.750) and Ir at (0.137, 0.349, 0.515).

As for the density of states at the Fermi level: 7.02 states/eV/cell. As for the formation energy: -768 meV per atom.

=====

(11)
Entry from Alexandria: a geometry-optimized PIrW2 structure (PBE).

The space group is P4mm (No. 99) and the conventional cell measures 2.926, 2.926 and 6.917 Å, with angles of 90.00, 90.00 and 90.00 degrees. The asymmetric unit holds P at (0.000, 0.000, 0.000), Ir at (0.500, 0.500, 0.750), W at (0.000, 0.000, 0.487) and W at (0.500, 0.500, 0.189).

As for the density of states at the Fermi level: 2.09 states/eV/cell. As for the formation energy: -35 meV per atom.

=====

| no. | final energy (eV/atom) |
| --- | --- |
| 1 | -5.62 |
| 2 | -5.37 |
| 3 | -3.22 |
| 4 | -3.78 |
| 5 | -8.70 |
| 6 | -3.61 |
| 7 | -2.93 |
| 8 | -7.10 |
| 9 | -5.96 |
| 10 | -6.41 |
| 11 | -10.08 |